Here is LiPPd2Pb after structural relaxation from the Alexandria database. Energies are from PBE.

Cell: 4.612 4.612 4.564 Å, 90.00 90.00 90.00°
Fractional coordinates of all 5 atoms:
Li 0.000 0.000 0.000
P 0.000 0.000 0.500
Pd 0.000 0.500 0.500
Pd 0.500 0.000 0.500
Pb 0.500 0.500 0.000

Output
- space group = P4/mmm (123)
- calculated formation energy (kcal/mol of atoms) = -7.74